(1)
Compound: LiI2O
Source: Alexandria
Functional: PBE
Structure: optimized geometry

The final energy is -2.637 eV/atom. The value obtained for the calculated density is 3.85 g/cm3. The size of the total moment comes out at 0.00 μB/atom.

The space group is I-42d (No. 122) and the conventional cell measures 5.937, 5.937 and 13.534 Å, with angles of 90.00, 90.00 and 90.00 degrees. The inequivalent atoms are Li at (0.000, 0.000, 0.000), I at (0.157, 0.250, 0.625) and O at (0.000, 0.000, 0.500).

---

(2)
Compound: LiOsIO2
Source: Alexandria
Functional: PBE
Structure: optimized geometry

The final energy is -3.936 eV/atom. The value obtained for the calculated density is 8.34 g/cm3. The size of the total moment comes out at 0.31 μB/atom.

The space group is P4/mmm (No. 123) and the conventional cell measures 3.838, 3.838 and 4.812 Å, with angles of 90.00, 90.00 and 90.00 degrees. The inequivalent atoms are Li at (0.000, 0.000, 0.000), Os at (0.500, 0.500, 0.500), I at (0.000, 0.000, 0.500) and O at (0.000, 0.500, 0.000).

---

Asked for energy relative to the elements, uncorrected across the records above, the calculation gives -144 986 meV/atom in order.